DFT (PBE) results for a geometry-optimized AgPBr structure.

a = 12.748 Å, b = 12.748 Å, c = 12.748 Å
α = 164.40°, β = 164.40°, γ = 22.14°
Fractional coordinates of all 6 atoms:
Ag1 0.167 0.167 0.000
Ag2 0.833 0.833 0.000
Br1 0.068 0.068 0.000
Br2 0.932 0.932 0.000
P1 0.265 0.265 0.000
P2 0.735 0.735 0.000

space group: No. 139
uncorrected energy: -3.092 eV per atom

DFT (PBE) results for a geometry-optimized NbFeCoSb structure.

a = 4.366 Å, b = 4.366 Å, c = 4.366 Å
α = 60.00°, β = 60.00°, γ = 60.00°
Each line ends with the local moment (μB).
Fractional coordinates of all 4 atoms:
Co1 0.750 0.750 0.750  0.97
Fe1 0.250 0.250 0.250  1.60
Nb1 0.500 0.500 0.500  -0.12
Sb1 0.000 0.000 0.000  0.01

space group: No. 216
uncorrected energy: -7.421 eV per atom
total moment: 2.4 Bohr magnetons per cell